Entry from the Alexandria database: Mn2HSeO after structural relaxation (PBE+U).

abc: 4.678 4.678 5.959
angles: 112.07 112.07 48.04
Positions (direct):
Mn: 0.000 0.000 0.000
Mn: 0.664 0.664 0.487
H: 0.899 0.899 0.680
Se: 0.680 0.680 0.942
O: 0.105 0.105 0.358

For the density, the calculation gives 3.87 g/cm³. The raw total energy comes out at -5.95 eV/atom.